Na4CeTa3O12 | PBE | relaxed

```
20
Lattice="-4.100 4.100 4.100 4.100 -4.100 4.100 4.100 4.100 -4.100" Properties=species:S:1:pos:R:3 pbc="T T T"
Na 2.050 2.050 -2.050
Na 2.050 -2.050 2.050
Na -2.050 2.050 2.050
Na 2.050 2.050 2.050
Ce 0.000 0.000 0.000
Ta 4.100 0.000 0.000
Ta 0.000 4.100 0.000
Ta 0.000 0.000 4.100
O 2.174 0.000 0.000
O 6.027 0.000 0.000
O 4.100 2.050 0.000
O 4.100 0.000 2.050
O 0.000 2.174 0.000
O 0.000 0.000 2.174
O 2.050 4.100 0.000
O 2.050 0.000 4.100
O 0.000 6.027 0.000
O 0.000 0.000 6.027
O 0.000 4.100 2.050
O 0.000 2.050 4.100
```

total moment	0.439	μB per formula unit
Fermi-level density of states	12.43	states/eV/f.u.
calculated density	5822	kg/m3
E_form (uncorrected)	-2.51	eV per atom

FeReRu2 | PBE | relaxed

```
4
Lattice="-1.907 1.907 3.740 1.907 -1.907 3.740 1.907 1.907 -3.740" Properties=species:S:1:pos:R:3 pbc="T T T"
Fe 0.000 0.000 0.000
Re 0.000 0.000 3.740
Ru 1.907 0.000 1.870
Ru 0.000 1.907 1.870
```

total moment	1.577	μB per formula unit
Fermi-level density of states	4.50	states/eV/f.u.
E_form	0.08	eV per atom
calculated density	13558	kg/m3

MnSiIrPt2 | PBE | relaxed

```
5
Lattice="4.603 0.000 0.000 0.000 4.603 0.000 0.000 0.000 4.398" Properties=species:S:1:pos:R:3 pbc="T T T"
Mn 0.000 0.000 0.000
Si 2.301 2.301 2.199
Ir 0.000 0.000 2.199
Pt 0.000 2.301 0.000
Pt 2.301 0.000 0.000
```

total moment	0.000	μB per formula unit
Fermi-level density of states	6.68	states/eV/f.u.
calculated density	11859	kg/m3
E_form (uncorrected)	1.19	eV per atom

Zr2MnTe | PBE | relaxed

```
4
Lattice="0.000 3.427 3.427 3.427 0.000 3.427 3.427 3.427 0.000" Properties=species:S:1:pos:R:3 pbc="T T T"
Zr 0.000 0.000 0.000
Zr 1.714 1.714 1.714
Mn 3.427 3.427 3.427
Te 5.141 5.141 5.141
```

total moment	2.435	μB per formula unit
Fermi-level density of states	4.27	states/eV/f.u.
calculated density	7529	kg/m3
E_form (uncorrected)	0.16	eV per atom

EuLuZn2 | PBE | relaxed

```
4
Lattice="3.609 0.000 0.000 0.000 3.609 0.000 0.000 0.000 7.281" Properties=species:S:1:pos:R:3 pbc="T T T"
Eu 0.000 0.000 0.000
Lu 0.000 0.000 3.640
Zn 1.805 1.805 2.069
Zn 1.805 1.805 5.212
```

total moment	7.160	μB per formula unit
Fermi-level density of states	4.67	states/eV/f.u.
E_form	-0.30	eV per atom
calculated density	8014	kg/m3